Entry from Alexandria: an optimized crystal structure of Mg14SiB (GGA-PBE).

Properties
Symmetry ... Amm2 (38)
Spin magnetization ... 0.00 Bohr magnetons per cell
Relative energy among the computed polymorphs ... 0.0 kJ per mole of atoms
Calculated total energy ... -32.48 eV/cell
Raw formation energy ... 1.942 eV/f.u.

Unit cell a=8.973 b=6.278 c=6.278 alpha=72.75 beta=90.00 gamma=90.00
Element x y z (fractional)
Mg 0.000 0.000 0.000
Mg 0.000 0.468 0.468
Mg 0.000 0.536 0.944
Mg 0.000 0.944 0.536
Mg 0.221 0.225 0.225
Mg 0.286 0.665 0.665
Mg 0.310 0.138 0.742
Mg 0.310 0.742 0.138
Mg 0.500 0.415 0.994
Mg 0.500 0.994 0.415
Mg 0.690 0.138 0.742
Mg 0.690 0.742 0.138
Mg 0.714 0.665 0.665
Mg 0.779 0.225 0.225
Si 0.500 0.455 0.455
B 0.500 0.822 0.822